# 1
First-principles (PBE) data for a geometry-optimized Nd2Pd5Pt structure, as listed in Alexandria via LeMat-Bulk.

Values from the calculation:
The energy of formation from the pure elements comes out at -76.4 kJ/mol of atoms. For the calculated density, the calculation gives 11.368 g/cm3. Its density of states at the Fermi level is 0.70 states/eV/atom. The value obtained for the total DFT energy (no corrections) is -5.985 eV per atom.

a = 5.9343 Å, b = 11.8754 Å, c = 4.2105 Å
α = 90.00°, β = 90.00°, γ = 90.00°
Closest atoms and distances in Å follow each position.
Space group Pbam (No. 55)
Inequivalent atoms, fractional coordinates:
Nd1 0.2492 0.1248 0.0000 (multiplicity 4)  10 Pd 2.96-2.98, 2 Pt 2.97
Pd1 0.0000 0.0000 0.5000 (multiplicity 2)  2 Pt 2.97, 4 Nd 2.97, 6 Pd 2.98
Pd2 0.0017 0.7494 0.5000 (multiplicity 4)  1 Pt 2.96, 7 Pd 2.97-2.98, 4 Nd 2.97-2.98
Pd3 0.2480 0.3753 0.0000 (multiplicity 4)  4 Nd 2.96-2.97, 2 Pt 2.97, 6 Pd 2.97-2.98
Pt1 0.0000 0.5000 0.5000 (multiplicity 2)  8 Pd 2.96-2.97, 4 Nd 2.97

---

# 2
First-principles (PBE) data for a geometry-optimized Nd3Pd7Pt2 structure, as listed in Alexandria via LeMat-Bulk.

Values from the calculation:
The energy of formation from the pure elements comes out at -62.9 kJ/mol of atoms. For the calculated density, the calculation gives 10.933 g/cm3. Its density of states at the Fermi level is 0.47 states/eV/atom. The value obtained for the total DFT energy (no corrections) is -5.880 eV per atom.

a = 4.0794 Å, b = 4.0794 Å, c = 28.6190 Å
α = 90.00°, β = 90.00°, γ = 90.00°
Closest atoms and distances in Å follow each position.
Space group I4/mmm (No. 139)
Inequivalent atoms, fractional coordinates:
Nd1 0.0000 0.0000 0.0000 (multiplicity 2)  12 Pd 2.88-2.98
Nd2 0.0000 0.0000 0.1667 (multiplicity 4)  1 Pd 2.88, 4 Pt 2.98
Pd1 0.0000 0.0000 0.2673 (multiplicity 4)  1 Pt 2.65, 1 Nd 2.88
Pd2 0.0000 0.0000 0.5000 (multiplicity 2)  4 Nd 2.88, 8 Pd 2.98
Pd3 0.0000 0.5000 0.0758 (multiplicity 8)  2 Pt 2.75, 6 Pd 2.88-2.98, 2 Nd 2.98
Pt1 0.0000 0.0000 0.3598 (multiplicity 4)  5 Pd 2.65-2.75

---

# 3
First-principles (PBE) data for a geometry-optimized NdPd3Pt structure, as listed in Alexandria via LeMat-Bulk.

Values from the calculation:
The energy of formation from the pure elements comes out at -54.6 kJ/mol of atoms. For the calculated density, the calculation gives 11.423 g/cm3. The calculation puts the energy above the most stable polymorph in this dataset at 0 meV per atom. Its density of states at the Fermi level is 0.74 states/eV/atom. The value obtained for the total DFT energy (no corrections) is -5.843 eV per atom.

a = 5.2381 Å, b = 7.6872 Å, c = 9.5105 Å
α = 90.00°, β = 90.00°, γ = 90.00°
Closest atoms and distances in Å follow each position.
Space group Imma (No. 74)
Inequivalent atoms, fractional coordinates:
Nd1 0.0000 0.2500 0.0010 (multiplicity 4)  7 Pd 2.92-3.19, 4 Pt 3.25
Pd1 0.0000 0.2500 0.3080 (multiplicity 4)  2 Pt 2.65, 6 Pd 2.79-2.84, 1 Nd 2.92
Pd2 0.2500 0.0622 0.7500 (multiplicity 8)  5 Pd 2.62-2.89, 2 Pt 2.76
Pt1 0.0000 0.0000 0.5000 (multiplicity 4)  6 Pd 2.65-2.76

---

# 4
First-principles (PBE) data for a geometry-optimized NdPd4Pt2 structure, as listed in Alexandria via LeMat-Bulk.

Values from the calculation:
The energy of formation from the pure elements comes out at -49.9 kJ/mol of atoms. For the calculated density, the calculation gives 12.864 g/cm3. The calculation puts the energy above the most stable polymorph in this dataset at 0 meV per atom. Its density of states at the Fermi level is 0.85 states/eV/atom. The value obtained for the total DFT energy (no corrections) is -5.892 eV per atom.

a = 8.6399 Å, b = 6.8045 Å, c = 5.3518 Å
α = 90.00°, β = 128.02°, γ = 90.00°
Closest atoms and distances in Å follow each position.
Space group C2/m (No. 12)
Inequivalent atoms, fractional coordinates:
Nd1 0.0000 0.0000 0.0000 (multiplicity 2)  4 Pd 2.86
Pd1 0.2029 0.2029 0.7028 (multiplicity 8)  4 Pd 2.76-2.83, 4 Pt 2.79, 1 Nd 2.86
Pt1 0.9998 0.5000 0.2499 (multiplicity 4)  2 Pt 2.68, 8 Pd 2.79

---

# 5
First-principles (PBE) data for a geometry-optimized Nd2PdPt2 structure, as listed in Alexandria via LeMat-Bulk.

Values from the calculation:
The energy of formation from the pure elements comes out at -92.3 kJ/mol of atoms. For the calculated density, the calculation gives 11.424 g/cm3. The calculation puts the energy above the most stable polymorph in this dataset at 36 meV per atom. Its density of states at the Fermi level is 0.76 states/eV/atom. The value obtained for the total DFT energy (no corrections) is -6.319 eV per atom.

a = 7.6334 Å, b = 7.6334 Å, c = 7.8337 Å
α = 90.00°, β = 90.00°, γ = 90.00°
Closest atoms and distances in Å follow each position.
Space group P4/mnc (No. 128)
Inequivalent atoms, fractional coordinates:
Nd1 0.1737 0.3263 0.0000 (multiplicity 8)  6 Pt 2.89-3.05
Pd1 0.0000 0.0000 0.2484 (multiplicity 4)  4 Pt 2.99
Pt1 0.1300 0.6300 0.2500 (multiplicity 8)  1 Pt 2.81, 6 Nd 2.89-3.05, 2 Pd 2.99

---

# 6
First-principles (PBE) data for a geometry-optimized NdPdPt2 structure, as listed in Alexandria via LeMat-Bulk.

Values from the calculation:
The energy of formation from the pure elements comes out at -19.4 kJ/mol of atoms. For the calculated density, the calculation gives 11.527 g/cm3. Its density of states at the Fermi level is 0.63 states/eV/atom. The value obtained for the total DFT energy (no corrections) is -5.711 eV per atom.

a = 5.4616 Å, b = 7.0910 Å, c = 9.5346 Å
α = 90.00°, β = 90.00°, γ = 90.00°
Closest atoms and distances in Å follow each position.
Space group Pmma (No. 51)
Inequivalent atoms, fractional coordinates:
Nd1 0.2500 0.0000 0.1240 (multiplicity 2)  2 Pd 2.88
Nd2 0.2500 0.5000 0.2781 (multiplicity 2)  4 Pt 2.77-2.98, 2 Pd 2.77
Pd1 0.2500 0.0000 0.7818 (multiplicity 2)  2 Nd 2.88, 2 Pt 3.01
Pd2 0.2500 0.5000 0.7707 (multiplicity 2)  4 Pt 2.58-2.65, 2 Nd 2.77
Pt1 0.0000 0.0000 0.5000 (multiplicity 2)  6 Pt 2.60-2.73
Pt2 0.0000 0.5000 0.0000 (multiplicity 2)  2 Pd 2.58, 2 Pt 2.73
Pt3 0.2500 0.3090 0.5313 (multiplicity 4)  5 Pt 2.60-2.80, 1 Pd 2.65, 1 Nd 2.77

---

# 7
First-principles (PBE) data for a geometry-optimized Nd2PdPt2 structure, as listed in Alexandria via LeMat-Bulk.

Values from the calculation:
The energy of formation from the pure elements comes out at -95.8 kJ/mol of atoms. For the calculated density, the calculation gives 11.890 g/cm3. The calculation puts the energy above the most stable polymorph in this dataset at 0 meV per atom. Its density of states at the Fermi level is 0.51 states/eV/atom. The value obtained for the total DFT energy (no corrections) is -6.355 eV per atom.

a = 9.8924 Å, b = 5.6671 Å, c = 8.1455 Å
α = 90.00°, β = 106.17°, γ = 90.00°
Closest atoms and distances in Å follow each position.
Space group C2/c (No. 15)
Inequivalent atoms, fractional coordinates:
Nd1 0.1519 0.1355 0.1523 (multiplicity 8)  3 Pd 3.02-3.35, 6 Pt 3.03-3.17
Pd1 0.0000 0.2808 0.7500 (multiplicity 4)  4 Pt 2.77-2.83, 2 Nd 3.02
Pt1 0.1293 0.3749 0.4960 (multiplicity 8)  2 Pt 2.76-2.94, 2 Pd 2.77-2.83, 3 Nd 3.03-3.07

---

# 8
First-principles (PBE) data for a geometry-optimized Nd8PdPt5 structure, as listed in Alexandria via LeMat-Bulk.

Values from the calculation:
The energy of formation from the pure elements comes out at -88.4 kJ/mol of atoms. For the calculated density, the calculation gives 10.065 g/cm3. Its density of states at the Fermi level is 0.91 states/eV/atom. The value obtained for the total DFT energy (no corrections) is -6.169 eV per atom.

a = 9.0402 Å, b = 9.0402 Å, c = 9.0269 Å
α = 90.00°, β = 90.00°, γ = 90.00°
Closest atoms and distances in Å follow each position.
Space group I-4 (No. 82)
Inequivalent atoms, fractional coordinates:
Nd1 0.0592 0.1876 0.3137 (multiplicity 8)  2 Pt 2.91, 1 Pd 2.93
Nd2 0.0624 0.3090 0.9323 (multiplicity 8)  3 Pt 2.91-2.92
Pd1 0.0000 0.5000 0.2500 (multiplicity 2)  4 Nd 2.93
Pt1 0.0000 0.0000 0.0000 (multiplicity 2)  4 Nd 2.91
Pt2 0.1262 0.2502 0.6224 (multiplicity 8)  4 Nd 2.91-2.92